(1)
CaCeO3 | PBE | relaxed

Properties
Calculated volume, Å³/atom: 19.94
Raw formation energy, meV per atom: -3035

Unit cell a=6.0515 b=6.0515 c=3.1431 alpha=90.00 beta=90.00 gamma=120.00
Space group P-6m2 (No. 187)
Inequivalent atoms, fractional coordinates:
Ca  0.0000  0.0000  0.0000 x1
Ce  0.6667  0.3333  0.0000 x1
O  0.3500  0.1750  0.5000 x3



(2)
Ac8SiTe3Se4 | PBE | relaxed

Properties
Calculated volume, Å³/atom: 34.28
Raw formation energy, meV per atom: -1604

Unit cell a=15.8395 b=9.2136 c=9.1627 alpha=90.00 beta=124.88 gamma=90.00
Space group C2/m (No. 12)
Inequivalent atoms, fractional coordinates:
Ac  0.0070  0.2352  0.2579 x8
Ac  0.2422  0.0000  0.2577 x4
Ac  0.2433  0.0000  0.7294 x4
Si  0.0000  0.0000  0.5000 x2
Te  0.0000  0.5000  0.5000 x2
Te  0.2500  0.2500  0.0000 x4
Se  0.0000  0.0000  0.0000 x2
Se  0.0000  0.5000  0.0000 x2
Se  0.2500  0.2500  0.5000 x4



(3)
HfZr2NbH | PBE | relaxed

Properties
Calculated volume, Å³/atom: 17.69
Excess energy over the best structure of this formula in the dataset, meV/atom: 11.6

Unit cell a=4.6426 b=4.6426 c=4.1041 alpha=90.00 beta=90.00 gamma=90.00
Space group P4/mmm (No. 123)
Inequivalent atoms, fractional coordinates:
Hf  0.0000  0.0000  0.0000 x1
Zr  0.0000  0.5000  0.5000 x2
Nb  0.5000  0.5000  0.0000 x1
H  0.0000  0.0000  0.5000 x1



(4)
Ca3SiPd | PBE | relaxed

Properties
Calculated volume, Å³/atom: 31.29
Raw formation energy, meV per atom: -105
Excess energy over the best structure of this formula in the dataset, meV/atom: 0.0

Unit cell a=5.3886 b=5.3886 c=5.3886 alpha=90.00 beta=90.00 gamma=90.00
Space group Pm-3m (No. 221)
Inequivalent atoms, fractional coordinates:
Ca  0.0000  0.0000  0.5000 x3
Si  0.5000  0.5000  0.5000 x1
Pd  0.0000  0.0000  0.0000 x1



(5)
ThGe2Ir2Pd | PBE | relaxed

Properties
Calculated volume, Å³/atom: 18.19
Formation enthalpy at 0 K, eV/f.u.: -4.3

Unit cell a=4.3461 b=4.3461 c=6.6703 alpha=90.00 beta=90.00 gamma=120.00
Space group P-3m1 (No. 164)
Inequivalent atoms, fractional coordinates:
Th  0.0000  0.0000  0.0000 x1
Ge  0.3333  0.6667  0.3138 x2
Ir  0.3333  0.6667  0.7109 x2
Pd  0.0000  0.0000  0.5000 x1



(6)
LaPuSi2 | PBE | relaxed

Properties
Calculated volume, Å³/atom: 23.84
Raw formation energy, meV per atom: -557
Excess energy over the best structure of this formula in the dataset, meV/atom: 4.0

Unit cell a=3.8899 b=5.9154 c=8.2886 alpha=90.00 beta=90.00 gamma=90.00
Space group Pmc2_1 (No. 26)
Inequivalent atoms, fractional coordinates:
La  0.0000  0.1395  0.0000 x2
Pu  0.5000  0.3598  0.6407 x2
Si  0.0000  0.3761  0.3529 x2
Si  0.5000  0.1402  0.2909 x2



(7)
SbBr2Cl | PBE | relaxed

Properties
Calculated volume, Å³/atom: 40.98
Raw formation energy, meV per atom: -602
Excess energy over the best structure of this formula in the dataset, meV/atom: 91.4

Unit cell a=13.3676 b=3.7434 c=7.4216 alpha=90.00 beta=118.01 gamma=90.00
Space group Cm (No. 8)
Inequivalent atoms, fractional coordinates:
Sb  0.0000  0.0000  0.0000 x2
Br  0.3420  0.0000  0.7217 x2
Br  0.4983  0.0000  0.2886 x2
Cl  0.1460  0.5000  0.9904 x2



(8)
Sr2LaCu | PBE | relaxed

Properties
Calculated volume, Å³/atom: 35.65
Formation enthalpy at 0 K, eV/f.u.: 0.4
Excess energy over the best structure of this formula in the dataset, meV/atom: 92.4

Unit cell a=3.7791 b=3.7791 c=9.9840 alpha=90.00 beta=90.00 gamma=90.00
Space group P4/mmm (No. 123)
Inequivalent atoms, fractional coordinates:
Sr  0.0000  0.0000  0.1874 x2
La  0.5000  0.5000  0.5000 x1
Cu  0.5000  0.5000  0.0000 x1



(9)
Lu2ZrTe | PBE | relaxed

Properties
Calculated volume, Å³/atom: 25.78
Raw formation energy, meV per atom: -467
Excess energy over the best structure of this formula in the dataset, meV/atom: 0.0

Unit cell a=3.7760 b=3.7760 c=7.2333 alpha=90.00 beta=90.00 gamma=90.00
Space group P4/mmm (No. 123)
Inequivalent atoms, fractional coordinates:
Lu  0.0000  0.0000  0.2428 x2
Zr  0.5000  0.5000  0.5000 x1
Te  0.5000  0.5000  0.0000 x1



(10)
Pm3GdTc | PBE | relaxed

Properties
Calculated volume, Å³/atom: 33.15
Formation enthalpy at 0 K, eV/f.u.: 0.9

Unit cell a=5.4933 b=5.4933 c=5.4933 alpha=90.00 beta=90.00 gamma=90.00
Space group Pm-3m (No. 221)
Inequivalent atoms, fractional coordinates:
Pm  0.0000  0.0000  0.5000 x3
Gd  0.5000  0.5000  0.5000 x1
Tc  0.0000  0.0000  0.0000 x1



(11)
RbLa2Ag | PBE | relaxed

Properties
Calculated volume, Å³/atom: 32.61
Formation enthalpy at 0 K, eV/f.u.: 1.6
Excess energy over the best structure of this formula in the dataset, meV/atom: 17.8

Unit cell a=8.0506 b=8.0506 c=8.0506 alpha=90.00 beta=90.00 gamma=90.00
Space group Fm-3m (No. 225)
Inequivalent atoms, fractional coordinates:
Rb  0.0000  0.0000  0.0000 x4
La  0.2500  0.2500  0.2500 x8
Ag  0.0000  0.0000  0.5000 x4



(12)
LaHf | PBE | relaxed

Properties
Calculated volume, Å³/atom: 51.62
Formation enthalpy at 0 K, eV/f.u.: 2.5
Excess energy over the best structure of this formula in the dataset, meV/atom: 1075.0

Unit cell a=9.3822 b=9.3822 c=9.3822 alpha=90.00 beta=90.00 gamma=90.00
Space group I-43m (No. 217)
Inequivalent atoms, fractional coordinates:
La  0.2075  0.2075  0.2075 x8
Hf  0.1060  0.1060  0.8940 x8



(13)
GdYHg4 | PBE | relaxed

Properties
Calculated volume, Å³/atom: 24.95
Formation enthalpy at 0 K, eV/f.u.: -1.4

Unit cell a=8.4292 b=8.4292 c=8.4292 alpha=90.00 beta=90.00 gamma=90.00
Space group F-43m (No. 216)
Inequivalent atoms, fractional coordinates:
Gd  0.0000  0.0000  0.0000 x4
Y  0.2500  0.2500  0.7500 x4
Hg  0.1250  0.1250  0.3750 x16



(14)
Ta2Cr3Si | PBE | relaxed

Properties
Calculated volume, Å³/atom: 13.82
Raw formation energy, meV per atom: -374

Unit cell a=4.8493 b=4.8493 c=12.2088 alpha=90.00 beta=90.00 gamma=120.00
Space group R-3m (No. 166, hexagonal axes)
Inequivalent atoms, fractional coordinates:
Ta  0.0000  0.0000  0.1233 x6
Cr  0.0000  0.5000  0.0000 x9
Si  0.0000  0.0000  0.5000 x3



(15)
CaIrC3 | PBE | relaxed

Properties
Calculated volume, Å³/atom: 14.26
Formation enthalpy at 0 K, eV/f.u.: 18.8
Excess energy over the best structure of this formula in the dataset, meV/atom: 2332.5

Unit cell a=4.1466 b=4.1466 c=4.1466 alpha=90.00 beta=90.00 gamma=90.00
Space group Pm-3m (No. 221)
Inequivalent atoms, fractional coordinates:
Ca  0.0000  0.0000  0.0000 x1
Ir  0.5000  0.5000  0.5000 x1
C  0.0000  0.0000  0.5000 x3



(16)
TaAlTl | PBE | relaxed

Properties
Calculated volume, Å³/atom: 20.32
Formation enthalpy at 0 K, eV/f.u.: 1.1
Excess energy over the best structure of this formula in the dataset, meV/atom: 55.3

Unit cell a=2.9517 b=2.9517 c=13.9920 alpha=90.00 beta=90.00 gamma=90.00
Space group I4mm (No. 107)
Inequivalent atoms, fractional coordinates:
Ta  0.0000  0.0000  0.0000 x2
Al  0.0000  0.0000  0.3652 x2
Tl  0.0000  0.0000  0.6785 x2



(17)
MgSc5N6 | PBE | relaxed

Properties
Calculated volume, Å³/atom: 11.45
Raw formation energy, meV per atom: -1628

Unit cell a=5.5181 b=9.5631 c=5.5220 alpha=90.00 beta=109.47 gamma=90.00
Space group C2/m (No. 12)
Inequivalent atoms, fractional coordinates:
Mg  0.0000  0.0000  0.0000 x2
Sc  0.0000  0.1657  0.5000 x4
Sc  0.0000  0.3329  0.0000 x4
Sc  0.0000  0.5000  0.5000 x2
N  0.2450  0.5000  0.2549 x4
N  0.2460  0.3301  0.7482 x8



(18)
PaPdPt6 | PBE | relaxed

Properties
Calculated volume, Å³/atom: 16.85
Formation enthalpy at 0 K, eV/f.u.: -4.9
Excess energy over the best structure of this formula in the dataset, meV/atom: 0.0

Unit cell a=5.7549 b=5.7549 c=4.0712 alpha=90.00 beta=90.00 gamma=90.00
Space group P4/mmm (No. 123)
Inequivalent atoms, fractional coordinates:
Pa  0.0000  0.0000  0.0000 x1
Pd  0.5000  0.5000  0.0000 x1
Pt  0.0000  0.5000  0.0000 x2
Pt  0.2527  0.2527  0.5000 x4



(19)
GeHRu | PBE | relaxed

Properties
Calculated volume, Å³/atom: 16.68
Excess energy over the best structure of this formula in the dataset, meV/atom: 301.6

Unit cell a=3.4120 b=3.4120 c=8.5959 alpha=90.00 beta=90.00 gamma=90.00
Space group I4mm (No. 107)
Inequivalent atoms, fractional coordinates:
Ge  0.0000  0.0000  0.0000 x2
H  0.0000  0.0000  0.6626 x2
Ru  0.0000  0.0000  0.4784 x2



(20)
NaLi6Cd8 | PBE | relaxed

Properties
Calculated volume, Å³/atom: 20.45
Formation enthalpy at 0 K, eV/f.u.: -2.3

Unit cell a=7.4545 b=7.4545 c=19.1204 alpha=90.00 beta=90.00 gamma=120.00
Space group R-3 (No. 148, hexagonal axes)
Inequivalent atoms, fractional coordinates:
Na  0.0000  0.0000  0.0000 x3
Li  0.0084  0.7674  0.2838 x18
Cd  0.0000  0.0000  0.4049 x6
Cd  0.0419  0.7826  0.1304 x18



(21)
K2AlO | PBE | relaxed

Properties
Calculated volume, Å³/atom: 34.53
Raw formation energy, meV per atom: -659
Excess energy over the best structure of this formula in the dataset, meV/atom: 0.0

Unit cell a=12.2271 b=12.2271 c=3.6952 alpha=90.00 beta=90.00 gamma=90.00
Space group I-42d (No. 122)
Inequivalent atoms, fractional coordinates:
K  0.0700  0.7500  0.1250 x8
Al  0.0000  0.0000  0.5000 x4
O  0.0000  0.0000  0.0000 x4



(22)
Ce4Th3In | PBE | relaxed

Properties
Calculated volume, Å³/atom: 29.67
Formation enthalpy at 0 K, eV/f.u.: 1.6

Unit cell a=6.0109 b=7.2745 c=10.8583 alpha=90.00 beta=90.00 gamma=90.00
Space group Imm2 (No. 44)
Inequivalent atoms, fractional coordinates:
Ce  0.0000  0.1881  0.0000 x4
Ce  0.2433  0.0000  0.4933 x4
Th  0.0000  0.2629  0.2755 x4
Th  0.0000  0.5000  0.6388 x2
In  0.0000  0.0000  0.7441 x2



(23)
BaHo4Pt3O12 | PBE | relaxed

Properties
Calculated volume, Å³/atom: 14.19
Raw formation energy, meV per atom: -2166

Unit cell a=8.2793 b=8.2793 c=8.2793 alpha=90.00 beta=90.00 gamma=90.00
Space group Im-3 (No. 204)
Inequivalent atoms, fractional coordinates:
Ba  0.0000  0.0000  0.0000 x2
Ho  0.2500  0.2500  0.2500 x8
Pt  0.0000  0.0000  0.5000 x6
O  0.0000  0.1598  0.3183 x24



(24)
Mn2SnHI | PBE | relaxed

Properties
Calculated volume, Å³/atom: 19.65

Unit cell a=4.6148 b=4.6148 c=4.6124 alpha=90.00 beta=90.00 gamma=90.00
Space group P4/mmm (No. 123)
Inequivalent atoms, fractional coordinates:
Mn  0.0000  0.5000  0.0000 x2
Sn  0.0000  0.0000  0.5000 x1
H  0.5000  0.5000  0.0000 x1
I  0.5000  0.5000  0.5000 x1



(25)
ZrFeRu2 | PBE | relaxed

Properties
Calculated volume, Å³/atom: 15.49
Formation enthalpy at 0 K, eV/f.u.: -0.7

Unit cell a=4.3862 b=4.3862 c=3.2208 alpha=90.00 beta=90.00 gamma=90.00
Space group P4/mmm (No. 123)
Inequivalent atoms, fractional coordinates:
Zr  0.0000  0.0000  0.0000 x1
Fe  0.5000  0.5000  0.0000 x1
Ru  0.0000  0.5000  0.5000 x2



Number 1: E_tot -37.99 eV for the cell shown, total moment 0.00 μB/f.u., N(E_F) 0.00 states/eV per cell. Number 2: E_tot -174.63 eV for the cell shown, total moment 0.00 μB/f.u., N(E_F) 18.86 states/eV per cell. Number 3: E_tot -40.50 eV for the cell shown, total moment 0.00 μB/f.u., N(E_F) 8.49 states/eV per cell. Number 4: E_tot -17.14 eV for the cell shown, total moment 0.00 μB/f.u., N(E_F) 3.89 states/eV per cell. Number 5: E_tot -43.83 eV for the cell shown, total moment 0.00 μB/f.u., N(E_F) 3.71 states/eV per cell. Number 6: E_tot -64.67 eV for the cell shown, total moment 6.52 μB/f.u., N(E_F) 19.78 states/eV per cell. Number 7: E_tot -23.45 eV for the cell shown, total moment 0.00 μB/f.u., N(E_F) 0.00 states/eV per cell. Number 8: E_tot -11.96 eV for the cell shown, total moment 0.01 μB/f.u., N(E_F) 6.01 states/eV per cell. Number 9: E_tot -22.60 eV for the cell shown, total moment 0.00 μB/f.u., N(E_F) 5.12 states/eV per cell. Number 10: E_tot -37.79 eV for the cell shown, total moment 7.63 μB/f.u., N(E_F) 8.94 states/eV per cell. Number 11: E_tot -48.27 eV for the cell shown, total moment 0.00 μB/f.u., N(E_F) 18.58 states/eV per cell. Number 12: E_tot -98.71 eV for the cell shown, total moment 0.00 μB/f.u., N(E_F) 28.36 states/eV per cell. Number 13: E_tot -92.52 eV for the cell shown, total moment 7.56 μB/f.u., N(E_F) 27.65 states/eV per cell. Number 14: E_tot -180.74 eV for the cell shown, total moment 0.00 μB/f.u., N(E_F) 8.27 states/eV per cell. Number 15: E_tot -19.76 eV for the cell shown, total moment 0.00 μB/f.u., N(E_F) 4.06 states/eV per cell. Number 16: E_tot -33.81 eV for the cell shown, total moment 0.00 μB/f.u., N(E_F) 3.79 states/eV per cell. Number 17: E_tot -205.47 eV for the cell shown, total moment 0.00 μB/f.u., N(E_F) 9.54 states/eV per cell. Number 18: E_tot -55.84 eV for the cell shown, total moment 0.00 μB/f.u., N(E_F) 6.45 states/eV per cell. Number 19: E_tot -32.33 eV for the cell shown, total moment 0.21 μB/f.u., N(E_F) 4.07 states/eV per cell. Number 20: E_tot -67.29 eV for the cell shown, total moment 0.00 μB/f.u., N(E_F) 9.11 states/eV per cell. Number 21: E_tot -54.13 eV for the cell shown, total moment 0.00 μB/f.u., N(E_F) 13.89 states/eV per cell. Number 22: E_tot -94.20 eV for the cell shown, total moment 0.00 μB/f.u., N(E_F) 36.20 states/eV per cell. Number 23: E_tot -282.37 eV for the cell shown, total moment 3.86 μB/f.u., N(E_F) 30.56 states/eV per cell. Number 24: E_tot -23.10 eV for the cell shown, total moment 7.62 μB/f.u., N(E_F) 4.10 states/eV per cell. Number 25: E_tot -36.27 eV for the cell shown, total moment 3.95 μB/f.u., N(E_F) 3.67 states/eV per cell.